This record from the Alexandria database describes an optimized crystal structure of MgMn3Pd6. The functional is PBE.

Properties
The energy of formation from the pure elements comes out at -3.2 eV/f.u. The total energy comes out at -6.346 eV/atom. Its spin magnetization is 13.51 μB/f.u. The volume comes out at 307 Å³ per cell.

Geometry as CIF:
```
data_MgMn3Pd6
_space_group_name_H-M_alt 'P 1'
_space_group_IT_number 1
_space_group_name_Hall 'P 1'
_cell_length_a 4.485
_cell_length_b 7.556
_cell_length_c 9.517
_cell_angle_alpha 107.68
_cell_angle_beta 90.00
_cell_angle_gamma 90.00
loop_
_atom_site_label
_atom_site_type_symbol
_atom_site_fract_x
_atom_site_fract_y
_atom_site_fract_z
_atom_site_occupancy
Mn1 Mn 0.250 0.539 0.389 1
Mn2 Mn 0.250 0.360 0.796 1
Mn3 Mn 0.750 0.640 0.204 1
Mn4 Mn 0.750 0.461 0.611 1
Mn5 Mn 0.250 0.769 0.989 1
Mn6 Mn 0.750 0.231 0.011 1
Mg1 Mg 0.250 0.948 0.599 1
Mg2 Mg 0.750 0.052 0.401 1
Pd1 Pd 0.250 0.255 0.502 1
Pd2 Pd 0.250 0.459 0.089 1
Pd3 Pd 0.750 0.159 0.705 1
Pd4 Pd 0.250 0.152 0.192 1
Pd5 Pd 0.750 0.930 0.111 1
Pd6 Pd 0.750 0.541 0.911 1
Pd7 Pd 0.750 0.848 0.808 1
Pd8 Pd 0.750 0.355 0.312 1
Pd9 Pd 0.250 0.070 0.889 1
Pd10 Pd 0.250 0.645 0.688 1
Pd11 Pd 0.250 0.841 0.295 1
Pd12 Pd 0.750 0.745 0.498 1
```